VASP calculation (PBE) on a relaxed structure of K3Li2ReO6.

## Properties
E above lowest polymorph: 1.323 kcal/mol of atoms
V: 12.8 Å³/atom
mass density: 4.47 Mg/m³

a b c (Å): 5.492 5.492 6.145
angles (deg): 98.23 98.23 120.10
Fractional coordinates of all 12 atoms:
K: 0.000 0.000 0.000
K: 0.321 0.679 0.000
K: 0.679 0.321 0.000
Li: 0.167 0.833 0.500
Li: 0.833 0.167 0.500
Re: 0.500 0.500 0.500
O: 0.149 0.438 0.321
O: 0.276 0.276 0.688
O: 0.438 0.149 0.321
O: 0.562 0.851 0.679
O: 0.724 0.724 0.312
O: 0.851 0.562 0.679